Compound: Ac2MgHg12
Source: Alexandria
Functional: PBE
Structure: relaxed

abc: 6.953 6.953 17.230
angles: 90.00 90.00 90.00
Space group P4/nbm (No. 125, origin choice 2)
Symmetry-distinct sites (fractional):
1 Ac 0.250 0.750 0.244 [4 per cell]
2 Mg 0.250 0.750 0.000 [2 per cell]
3 Hg 0.000 0.000 0.089 [8 per cell]
4 Hg 0.095 0.595 0.430 [8 per cell]
5 Hg 0.250 0.250 0.189 [4 per cell]
6 Hg 0.250 0.250 0.352 [4 per cell]

- total magnetization (μB per formula unit) = 0.0
- total energy (eV/atom) = -1.07

Compound: Cd3GaTe
Source: Alexandria
Functional: PBE
Structure: relaxed

abc: 5.768 5.768 5.768
angles: 90.00 90.00 90.00
Space group Pm-3m (No. 221)
Symmetry-distinct sites (fractional):
1 Cd 0.000 0.000 0.500 [3 per cell]
2 Ga 0.500 0.500 0.500 [1 per cell]
3 Te 0.000 0.000 0.000 [1 per cell]

- total magnetization (μB per formula unit) = 0.0
- formation energy without anion corrections (meV/atom) = 518
- E above lowest polymorph (meV per atom) = 322

Compound: SrHo2Tl
Source: Alexandria
Functional: PBE
Structure: relaxed

abc: 3.710 3.710 9.861
angles: 90.00 90.00 90.00
Space group P4/mmm (No. 123)
Symmetry-distinct sites (fractional):
1 Sr 0.000 0.000 0.000 [1 per cell]
2 Ho 0.500 0.500 0.303 [2 per cell]
3 Tl 0.000 0.000 0.500 [1 per cell]

- total magnetization (μB per formula unit) = 0.0
- E above lowest polymorph (meV per atom) = 0

Compound: Nd6YTh2
Source: Alexandria
Functional: PBE
Structure: relaxed

abc: 3.6285 3.6285 27.2268
angles: 90.00 90.00 120.00
Space group P-6m2 (No. 187)
Symmetry-distinct sites (fractional):
1 Nd 0.0000 0.0000 0.0633 [2 per cell]
2 Nd 0.0000 0.0000 0.2788 [2 per cell]
3 Nd 0.3333 0.6667 0.3924 [2 per cell]
4 Y 0.0000 0.0000 0.5000 [1 per cell]
5 Th 0.3333 0.6667 0.1701 [2 per cell]

- total magnetization (μB per formula unit) = 0.0
- total energy (eV/atom) = -5.48